{
  "formula": "TbAl3Au3",
  "functional": "PBE",
  "state": "optimized geometry",
  "lattice_angstrom": [[8.140, 0.000, 0.000], [4.070, 7.050, 0.000], [4.070, 2.350, 5.177]],
  "species": ["Tb", "Tb", "Al", "Al", "Al", "Al", "Al", "Al", "Au", "Au", "Au", "Au", "Au", "Au"],
  "frac_coords": [[0.324, 0.324, 0.027], [0.676, 0.676, 0.973], [0.429, 0.802, 0.647], [0.802, 0.122, 0.647], [0.122, 0.429, 0.647], [0.878, 0.571, 0.353], [0.198, 0.878, 0.353], [0.571, 0.198, 0.353], [0.249, 0.643, 0.173], [0.935, 0.249, 0.173], [0.643, 0.935, 0.173], [0.357, 0.065, 0.827], [0.065, 0.751, 0.827], [0.751, 0.357, 0.827]],
  "de_polymorph_mev_per_atom": 83.2,
  "total_magnetization_mub_per_fu": 0.000,
  "space_group": "No. 148",
  "e_form_ev_per_atom": -0.448
}